Zr3AsH: relaxed, PBE-GGA.

abc: 4.3588 4.3588 4.3588
angles: 90.00 90.00 90.00
Closest atoms and distances in Å follow each position.
Element x y z (fractional)
1 H 0.0000 0.0000 0.0000  6 Zr 2.18
2 As 0.5000 0.5000 0.5000  12 Zr 3.08
3 Zr 0.0000 0.5000 0.0000  2 H 2.18
4 Zr 0.0000 0.0000 0.5000  2 H 2.18
5 Zr 0.5000 0.0000 0.0000  2 H 2.18

Summary:
The value obtained for the magnetic moment is 0.0 Bohr magnetons per cell. The value obtained for the total energy is -7.2071 eV per atom. The density of states at the Fermi level comes out at 5.01 states/eV per cell. Its offset from the most stable computed form is 0.151 eV per atom.